(1)
This record from the Alexandria database describes a relaxed CaAl2CdAu4 crystal. The functional is PBE. Values from VASP.

The structure in Quantum ESPRESSO input format:
```
&SYSTEM
  ibrav = 0, nat = 8, ntyp = 4
/
ATOMIC_SPECIES
Ca 40.08 Ca.upf
Al 26.98 Al.upf
Cd 112.41 Cd.upf
Au 196.97 Au.upf
ATOMIC_POSITIONS angstrom
Ca 0.000 0.000 0.000
Al 7.262 -7.679 -0.093
Al 2.488 -2.580 0.021
Cd 4.875 -5.129 -0.036
Au 7.214 -5.825 1.766
Au 4.261 -6.787 -2.405
Au 5.489 -3.472 2.333
Au 2.535 -4.434 -1.838
CELL_PARAMETERS angstrom
-0.508 -4.269 -0.987
2.138 -1.737 -3.445
8.120 -4.254 4.360
```

- Total magnetization: 0.0 Bohr magnetons per cell
- Formation energy: -0.43 eV/atom


(2)
This record from the Alexandria database describes a relaxed CaAl2CdAu crystal. The functional is PBE. Values from VASP.

The structure in Quantum ESPRESSO input format:
```
&SYSTEM
  ibrav = 0, nat = 5, ntyp = 4
/
ATOMIC_SPECIES
Ca 40.08 Ca.upf
Au 196.97 Au.upf
Al 26.98 Al.upf
Cd 112.41 Cd.upf
ATOMIC_POSITIONS angstrom
Ca 2.534 2.622 2.534
Au 0.000 2.622 0.000
Al 0.000 0.000 2.534
Al 2.534 0.000 0.000
Cd 0.000 0.000 0.000
CELL_PARAMETERS angstrom
5.067 0.000 0.000
0.000 5.244 0.000
0.000 0.000 5.067
```

- Total magnetization: 0.0 Bohr magnetons per cell
- Formation energy: 0.28 eV/atom